[1]
A relaxed Al2ZnPt crystal, computed with PBE.

Structure (POSCAR):
```
Al2ZnPt
1.0
2.946 0.000 0.000
0.000 4.202 0.000
-1.435 0.000 4.940
Al Zn Pt
2 1 1
Direct
0.000 0.000 0.000 Al
0.312 0.500 0.636 Al
0.574 0.500 0.152 Zn
0.736 0.000 0.478 Pt
```

Properties
- density of states at the Fermi level (states/eV per cell) = 1.3
- DFT total energy (eV per atom) = -4.177

[2]
A relaxed CrHgIrRu2 crystal, computed with PBE.

Structure (POSCAR):
```
CrHgIrRu2
1.0
4.436 0.000 0.000
0.000 4.436 0.000
0.000 0.000 4.553
Cr Hg Ir Ru
1 1 1 2
Direct
0.000 0.000 0.000 Cr
0.500 0.500 0.500 Hg
0.000 0.000 0.500 Ir
0.000 0.500 0.000 Ru
0.500 0.000 0.000 Ru
```

Properties
- density of states at the Fermi level (states/eV per cell) = 6.2
- DFT total energy (eV per atom) = -6.305

[3]
A relaxed CaHg crystal, computed with PBE.

Structure (POSCAR):
```
CaHg
1.0
4.109 0.000 0.000
0.000 11.899 0.000
0.000 0.000 4.761
Ca Hg
4 4
Direct
0.000 0.144 0.250 Ca
0.000 0.856 0.750 Ca
0.500 0.356 0.750 Ca
0.500 0.644 0.250 Ca
0.000 0.416 0.250 Hg
0.000 0.584 0.750 Hg
0.500 0.084 0.750 Hg
0.500 0.916 0.250 Hg
```

Properties
- density of states at the Fermi level (states/eV per cell) = 6.6
- DFT total energy (eV per atom) = -1.662

[4]
A relaxed Pm3TlSe crystal, computed with PBE.

Structure (POSCAR):
```
Pm3TlSe
1.0
9.214 0.000 0.000
0.000 4.160 0.000
0.000 0.000 15.799
Pm Tl Se
12 4 4
Direct
0.025 0.250 0.111 Pm
0.159 0.250 0.529 Pm
0.176 0.750 0.289 Pm
0.324 0.250 0.789 Pm
0.341 0.750 0.029 Pm
0.475 0.750 0.611 Pm
0.525 0.250 0.389 Pm
0.659 0.250 0.971 Pm
0.676 0.750 0.211 Pm
0.824 0.250 0.711 Pm
0.841 0.750 0.471 Pm
0.975 0.750 0.889 Pm
0.103 0.750 0.687 Tl
0.397 0.250 0.187 Tl
0.603 0.750 0.813 Tl
0.897 0.250 0.313 Tl
0.174 0.250 0.947 Se
0.326 0.750 0.447 Se
0.674 0.250 0.553 Se
0.826 0.750 0.053 Se
```

Properties
- uncorrected formation energy (eV/atom) = -0.878
- density of states at the Fermi level (states/eV per cell) = 19.1
- DFT total energy (eV per atom) = -4.898
- energy above the most stable polymorph in this dataset (kJ/mol of atoms) = 0.00

[5]
A relaxed Sr2Si2Au crystal, computed with PBE.

Structure (POSCAR):
```
Sr2Si2Au
1.0
4.414 0.000 0.000
0.000 4.357 0.000
0.000 0.000 13.161
Sr Si Au
4 4 2
Direct
0.000 0.000 0.000 Sr
0.000 0.000 0.246 Sr
0.000 0.500 0.500 Sr
0.000 0.500 0.746 Sr
0.500 0.000 0.431 Si
0.500 0.000 0.614 Si
0.500 0.500 0.114 Si
0.500 0.500 0.931 Si
0.500 0.000 0.821 Au
0.500 0.500 0.321 Au
```

Properties
- uncorrected formation energy (eV/atom) = -0.414
- density of states at the Fermi level (states/eV per cell) = 4.2
- DFT total energy (eV per atom) = -3.912
- energy above the most stable polymorph in this dataset (kJ/mol of atoms) = 14.84

[6]
A relaxed In2CuTe crystal, computed with PBE.

Structure (POSCAR):
```
In2CuTe
1.0
6.644 0.000 0.000
0.000 6.644 0.000
0.000 0.000 11.992
In Cu Te
8 4 4
Direct
0.199 0.250 0.125 In
0.250 0.699 0.375 In
0.250 0.801 0.875 In
0.301 0.250 0.625 In
0.699 0.750 0.625 In
0.750 0.199 0.875 In
0.750 0.301 0.375 In
0.801 0.750 0.125 In
0.000 0.000 0.000 Cu
0.000 0.500 0.250 Cu
0.500 0.000 0.750 Cu
0.500 0.500 0.500 Cu
0.000 0.000 0.500 Te
0.000 0.500 0.750 Te
0.500 0.000 0.250 Te
0.500 0.500 0.000 Te
```

Properties
- uncorrected formation energy (eV/atom) = 0.094
- density of states at the Fermi level (states/eV per cell) = 8.3
- DFT total energy (eV per atom) = -3.084

[7]
A relaxed SrFe2NiMo crystal, computed with PBE.

Structure (POSCAR):
```
SrFe2NiMo
1.0
4.492 0.000 0.000
0.000 4.492 0.000
0.000 0.000 4.757
Sr Fe Ni Mo
1 2 1 1
Direct
0.000 0.000 0.000 Sr
0.000 0.500 0.500 Fe
0.500 0.000 0.500 Fe
0.500 0.500 0.000 Ni
0.500 0.500 0.500 Mo
```

Properties
- density of states at the Fermi level (states/eV per cell) = 4.1
- DFT total energy (eV per atom) = -6.111

[8]
A relaxed LaSb3S crystal, computed with PBE.

Structure (POSCAR):
```
LaSb3S
1.0
6.068 0.000 0.000
0.000 6.068 0.000
0.000 0.000 6.068
La Sb S
1 3 1
Direct
0.000 0.000 0.000 La
0.000 0.000 0.500 Sb
0.000 0.500 0.000 Sb
0.500 0.000 0.000 Sb
0.500 0.500 0.500 S
```

Properties
- uncorrected formation energy (eV/atom) = 0.908
- density of states at the Fermi level (states/eV per cell) = 5.8
- DFT total energy (eV per atom) = -3.377
- energy above the most stable polymorph in this dataset (kJ/mol of atoms) = 108.29

[9]
A relaxed NaMgNb crystal, computed with PBE.

Structure (POSCAR):
```
NaMgNb
1.0
2.900 0.000 0.000
-1.225 6.310 0.000
-1.429 -1.629 7.404
Na Mg Nb
2 2 2
Direct
0.000 0.000 0.000 Na
0.408 0.150 0.665 Na
0.491 0.517 0.998 Mg
0.497 0.850 0.344 Mg
0.038 0.385 0.344 Nb
0.931 0.610 0.619 Nb
```

Properties
- density of states at the Fermi level (states/eV per cell) = 4.3
- DFT total energy (eV per atom) = -3.865
- energy above the most stable polymorph in this dataset (kJ/mol of atoms) = 27.50

[10]
A relaxed Pr2ErSe3 crystal, computed with PBE.

Structure (POSCAR):
```
Pr2ErSe3
1.0
0.000 5.924 12.390
4.256 0.000 12.390
4.256 5.924 0.000
Pr Er Se
8 4 12
Direct
0.046 0.046 0.204 Pr
0.123 0.123 0.627 Pr
0.204 0.204 0.046 Pr
0.373 0.373 0.877 Pr
0.627 0.627 0.123 Pr
0.796 0.796 0.954 Pr
0.877 0.877 0.373 Pr
0.954 0.954 0.796 Pr
0.292 0.292 0.458 Er
0.458 0.458 0.292 Er
0.542 0.542 0.708 Er
0.708 0.708 0.542 Er
0.038 0.539 0.227 Se
0.144 0.606 0.606 Se
0.227 0.696 0.038 Se
0.304 0.773 0.461 Se
0.394 0.856 0.856 Se
0.461 0.962 0.304 Se
0.539 0.038 0.696 Se
0.606 0.144 0.144 Se
0.696 0.227 0.539 Se
0.773 0.304 0.962 Se
0.856 0.394 0.394 Se
0.962 0.461 0.773 Se
```

Properties
- uncorrected formation energy (eV/atom) = -1.799
- density of states at the Fermi level (states/eV per cell) = 11.8
- DFT total energy (eV per atom) = -5.895
- energy above the most stable polymorph in this dataset (kJ/mol of atoms) = 0.00

[11]
A relaxed NbV6Ga crystal, computed with PBE.

Structure (POSCAR):
```
NbV6Ga
1.0
5.416 0.000 0.000
0.000 8.759 0.000
-1.623 0.000 4.921
Nb V Ga
2 12 2
Direct
0.000 0.000 0.000 Nb
0.500 0.500 0.000 Nb
0.007 0.500 0.244 V
0.247 0.252 0.246 V
0.247 0.748 0.246 V
0.253 0.248 0.754 V
0.253 0.752 0.754 V
0.493 0.000 0.756 V
0.507 0.000 0.244 V
0.747 0.248 0.246 V
0.747 0.752 0.246 V
0.753 0.252 0.754 V
0.753 0.748 0.754 V
0.993 0.500 0.756 V
0.000 0.000 0.500 Ga
0.500 0.500 0.500 Ga
```

Properties
- density of states at the Fermi level (states/eV per cell) = 16.5
- DFT total energy (eV per atom) = -8.346

[12]
A relaxed Sr2CrAu crystal, computed with PBE.

Structure (POSCAR):
```
Sr2CrAu
1.0
4.635 0.000 0.000
0.000 4.641 0.000
0.000 0.000 11.933
Sr Cr Au
4 2 2
Direct
0.000 0.000 0.000 Sr
0.000 0.500 0.500 Sr
0.500 0.000 0.286 Sr
0.500 0.500 0.786 Sr
0.500 0.000 0.583 Cr
0.500 0.500 0.083 Cr
0.000 0.000 0.705 Au
0.000 0.500 0.205 Au
```

Properties
- density of states at the Fermi level (states/eV per cell) = 4.2
- DFT total energy (eV per atom) = -4.138
- energy above the most stable polymorph in this dataset (kJ/mol of atoms) = 0.00